Entry 1:
ZnBi2B2O7 | Alexandria | SCAN | single point on PBEsol structure; ΔE_f (raw) = -22.7 eV/f.u.; DFT total energy = -1.5423 Ry per atom
1.0
-0.822 -4.350 -2.091
5.474 -4.851 7.940
-9.235 -1.017 5.745
Bi B O Zn
8 8 28 4
direct
0.583 0.177 0.529
0.583 0.323 0.029
0.578 0.013 0.184
0.583 0.677 0.971
0.578 0.487 0.684
0.578 0.513 0.316
0.583 0.823 0.471
0.578 0.987 0.816
0.127 0.514 0.872
0.127 0.986 0.372
0.077 0.117 0.980
0.077 0.883 0.020
0.127 0.486 0.128
0.077 0.383 0.480
0.077 0.617 0.520
0.127 0.014 0.628
0.740 0.801 0.829
0.952 0.000 0.000
0.924 0.199 0.914
0.740 0.301 0.671
0.271 0.872 0.324
0.220 0.500 0.000
0.740 0.699 0.329
0.740 0.199 0.171
0.337 0.365 0.519
0.251 0.411 0.798
0.251 0.589 0.202
0.271 0.128 0.676
0.271 0.372 0.176
0.251 0.911 0.702
0.829 0.520 0.860
0.829 0.480 0.140
0.251 0.089 0.298
0.337 0.865 0.981
0.829 0.980 0.360
0.337 0.635 0.481
0.924 0.301 0.414
0.924 0.801 0.086
0.952 0.500 0.500
0.220 0.000 0.500
0.271 0.628 0.824
0.829 0.020 0.640
0.924 0.699 0.586
0.337 0.135 0.019
0.069 0.758 0.743
0.069 0.242 0.257
0.069 0.258 0.757
0.069 0.742 0.243

***

Entry 2:
TaBiB2Os | Alexandria | SCAN | single point on PBEsol structure; ΔH_f (0 K) = 888 meV/atom; DFT total energy = -3.3436 Ry per atom
1.0
4.121 0.000 0.000
0.000 4.121 0.000
0.000 0.000 5.106
B Bi Os Ta
2 1 1 1
direct
0.500 0.000 0.000
0.000 0.500 0.000
0.500 0.500 0.500
0.000 0.000 0.000
0.000 0.000 0.500

***

Entry 3:
BiB2P | Alexandria | SCAN | single point on PBEsol structure; ΔH_f (0 K) = 1889 meV/atom; DFT total energy = -1.7692 Ry per atom
1.0
4.325 0.000 0.000
2.163 3.746 0.000
2.163 1.249 3.531
Bi B P
1 2 1
direct
0.500 0.500 0.500
0.250 0.250 0.250
0.750 0.750 0.750
0.000 0.000 0.000

***

> The lowest DFT total energy belongs to which entry?

TaBiB2Os

***

> Which formula does entry 1 have?

ZnBi2B2O7